A geometry-optimized Ti3NbSb2 structure. Source: the Alexandria database, functional PBE-GGA.

Geometry as CIF:
```
data_Ti3NbSb2
_space_group_name_H-M_alt 'I m m m'
_space_group_IT_number 71
_space_group_name_Hall '-I 2 2'
_cell_length_a 3.038
_cell_length_b 4.997
_cell_length_c 15.852
_cell_angle_alpha 90.00
_cell_angle_beta 90.00
_cell_angle_gamma 90.00
loop_
_atom_site_label
_atom_site_fract_x
_atom_site_fract_y
_atom_site_fract_z
_atom_site_occupancy
Ti1 0.000 0.000 0.000 1
Ti2 0.000 0.500 0.174 1
Nb1 0.000 0.500 0.000 1
Sb1 0.000 0.500 0.350 1
```

Properties
ΔE to the lowest computed polymorph = 390 meV/atom
Raw formation energy = 0.17 eV per atom